(1)
DFT (PBE) results for an optimized crystal structure of SrCd9Ge2. Values from VASP.

Properties
- E_form (eV/atom) = -0.06
- magnetization (μB per atom) = 0.00
- electronic total energy (eV/atom) = -1.66

```
&SYSTEM
  ibrav = 0, nat = 24, ntyp = 3
/
ATOMIC_SPECIES
Sr 87.62 Sr.upf
Cd 112.41 Cd.upf
Ge 72.64 Ge.upf
CELL_PARAMETERS angstrom
-5.889 5.889 4.135
5.889 -5.889 4.135
5.889 5.889 -4.135
ATOMIC_POSITIONS crystal
Sr 0.375 0.625 0.750
Sr 0.625 0.375 0.250
Cd 0.124 0.550 0.332
Cd 0.124 0.792 0.574
Cd 0.125 0.875 0.250
Cd 0.208 0.282 0.332
Cd 0.208 0.876 0.926
Cd 0.282 0.208 0.832
Cd 0.282 0.450 0.074
Cd 0.450 0.282 0.574
Cd 0.450 0.876 0.168
Cd 0.550 0.124 0.832
Cd 0.550 0.718 0.426
Cd 0.718 0.550 0.926
Cd 0.718 0.792 0.168
Cd 0.792 0.124 0.074
Cd 0.792 0.718 0.668
Cd 0.875 0.125 0.750
Cd 0.876 0.208 0.426
Cd 0.876 0.450 0.668
Ge 0.000 0.000 0.000
Ge 0.000 0.000 0.500
Ge 0.000 0.500 0.000
Ge 0.500 0.000 0.500
```

=====

(2)
DFT (PBE) results for an optimized crystal structure of LiHoScMo. Values from VASP.

Properties
- E_form (eV/atom) = 0.24
- magnetization (μB per atom) = 0.00
- electronic total energy (eV/atom) = -5.67

```
&SYSTEM
  ibrav = 0, nat = 16, ntyp = 4
/
ATOMIC_SPECIES
Li 6.94 Li.upf
Ho 164.93 Ho.upf
Sc 44.96 Sc.upf
Mo 95.94 Mo.upf
CELL_PARAMETERS angstrom
6.862 0.000 0.000
0.000 6.862 0.000
0.000 0.000 6.862
ATOMIC_POSITIONS crystal
Li 0.000 0.000 0.000
Li 0.000 0.500 0.500
Li 0.500 0.000 0.500
Li 0.500 0.500 0.000
Ho 0.250 0.250 0.250
Ho 0.250 0.750 0.750
Ho 0.750 0.250 0.750
Ho 0.750 0.750 0.250
Sc 0.250 0.250 0.750
Sc 0.250 0.750 0.250
Sc 0.750 0.250 0.250
Sc 0.750 0.750 0.750
Mo 0.000 0.000 0.500
Mo 0.000 0.500 0.000
Mo 0.500 0.000 0.000
Mo 0.500 0.500 0.500
```

=====

(3)
DFT (PBE) results for an optimized crystal structure of BaBSe2O8. Values from VASP.

Properties
- ΔE_f (raw) (eV per atom) = -1.073
- magnetization (μB per atom) = 0.00
- electronic total energy (eV/atom) = -5.68

```
&SYSTEM
  ibrav = 0, nat = 12, ntyp = 4
/
ATOMIC_SPECIES
Ba 137.33 Ba.upf
B 10.81 B.upf
Se 78.96 Se.upf
O 16.00 O.upf
CELL_PARAMETERS angstrom
5.986 -2.708 0.000
5.986 2.708 0.000
-5.920 0.000 6.302
ATOMIC_POSITIONS crystal
Ba 0.000 0.000 0.000
B 0.000 0.000 0.500
Se 0.447 0.447 0.617
Se 0.553 0.553 0.383
O 0.153 0.785 0.338
O 0.215 0.847 0.662
O 0.265 0.265 0.389
O 0.465 0.465 0.825
O 0.535 0.535 0.175
O 0.735 0.735 0.611
O 0.785 0.153 0.338
O 0.847 0.215 0.662
```

=====

(4)
DFT (PBE) results for an optimized crystal structure of Pr2ErOs. Values from VASP.

Properties
- E_form (eV/atom) = 0.43
- magnetization (μB per atom) = 0.00
- ΔE to the lowest computed polymorph (eV/atom) = 0.560
- electronic total energy (eV/atom) = -5.91

```
&SYSTEM
  ibrav = 0, nat = 12, ntyp = 3
/
ATOMIC_SPECIES
Pr 140.91 Pr.upf
Er 167.26 Er.upf
Os 190.23 Os.upf
CELL_PARAMETERS angstrom
3.601 0.000 0.000
-1.801 3.119 0.000
0.000 0.000 32.771
ATOMIC_POSITIONS crystal
Pr 0.000 0.000 0.105
Pr 0.000 0.000 0.895
Pr 0.333 0.667 0.561
Pr 0.333 0.667 0.772
Pr 0.667 0.333 0.228
Pr 0.667 0.333 0.439
Er 0.000 0.000 0.000
Er 0.333 0.667 0.667
Er 0.667 0.333 0.333
Os 0.000 0.000 0.500
Os 0.333 0.667 0.167
Os 0.667 0.333 0.833
```

=====

(5)
DFT (PBE) results for an optimized crystal structure of In3Cu5Sn12. Values from VASP.

Properties
- E_form (eV/atom) = 0.16
- magnetization (μB per atom) = 0.00
- electronic total energy (eV/atom) = -3.67

```
&SYSTEM
  ibrav = 0, nat = 80, ntyp = 3
/
ATOMIC_SPECIES
In 114.82 In.upf
Cu 63.55 Cu.upf
Sn 118.71 Sn.upf
CELL_PARAMETERS angstrom
-8.121 8.121 8.121
8.121 -8.121 8.121
8.121 8.121 -8.121
ATOMIC_POSITIONS crystal
In 0.125 0.250 0.375
In 0.125 0.375 0.750
In 0.250 0.375 0.125
In 0.250 0.875 0.625
In 0.375 0.125 0.250
In 0.375 0.750 0.125
In 0.625 0.250 0.875
In 0.625 0.875 0.750
In 0.750 0.125 0.375
In 0.750 0.625 0.875
In 0.875 0.625 0.250
In 0.875 0.750 0.625
Cu 0.000 0.000 0.000
Cu 0.000 0.000 0.500
Cu 0.000 0.500 0.000
Cu 0.000 0.500 0.500
Cu 0.125 0.750 0.875
Cu 0.125 0.875 0.250
Cu 0.250 0.125 0.875
Cu 0.250 0.625 0.375
Cu 0.375 0.250 0.625
Cu 0.375 0.625 0.750
Cu 0.500 0.000 0.000
Cu 0.500 0.000 0.500
Cu 0.500 0.500 0.000
Cu 0.500 0.500 0.500
Cu 0.625 0.375 0.250
Cu 0.625 0.750 0.375
Cu 0.750 0.375 0.625
Cu 0.750 0.875 0.125
Cu 0.875 0.125 0.750
Cu 0.875 0.250 0.125
Sn 0.036 0.212 0.110
Sn 0.036 0.325 0.926
Sn 0.074 0.610 0.398
Sn 0.074 0.964 0.675
Sn 0.102 0.712 0.675
Sn 0.102 0.890 0.426
Sn 0.110 0.036 0.212
Sn 0.110 0.574 0.898
Sn 0.175 0.212 0.602
Sn 0.175 0.464 0.574
Sn 0.212 0.110 0.036
Sn 0.212 0.602 0.175
Sn 0.288 0.325 0.898
Sn 0.288 0.464 0.390
Sn 0.325 0.898 0.288
Sn 0.325 0.926 0.036
Sn 0.390 0.288 0.464
Sn 0.390 0.602 0.926
Sn 0.398 0.074 0.610
Sn 0.398 0.825 0.788
Sn 0.426 0.102 0.890
Sn 0.426 0.825 0.536
Sn 0.464 0.390 0.288
Sn 0.464 0.574 0.175
Sn 0.536 0.426 0.825
Sn 0.536 0.610 0.712
Sn 0.574 0.175 0.464
Sn 0.574 0.898 0.110
Sn 0.602 0.175 0.212
Sn 0.602 0.926 0.390
Sn 0.610 0.398 0.074
Sn 0.610 0.712 0.536
Sn 0.675 0.074 0.964
Sn 0.675 0.102 0.712
Sn 0.712 0.536 0.610
Sn 0.712 0.675 0.102
Sn 0.788 0.398 0.825
Sn 0.788 0.890 0.964
Sn 0.825 0.536 0.426
Sn 0.825 0.788 0.398
Sn 0.890 0.426 0.102
Sn 0.890 0.964 0.788
Sn 0.898 0.110 0.574
Sn 0.898 0.288 0.325
Sn 0.926 0.036 0.325
Sn 0.926 0.390 0.602
Sn 0.964 0.675 0.074
Sn 0.964 0.788 0.890
```

=====

(6)
DFT (PBE) results for an optimized crystal structure of Te2HPdI. Values from VASP.

Properties
- magnetization (μB per atom) = 0.00
- ΔE to the lowest computed polymorph (eV/atom) = 0.000
- electronic total energy (eV/atom) = -2.80

```
&SYSTEM
  ibrav = 0, nat = 5, ntyp = 4
/
ATOMIC_SPECIES
Te 127.60 Te.upf
H 1.01 H.upf
Pd 106.42 Pd.upf
I 126.90 I.upf
CELL_PARAMETERS angstrom
4.233 0.000 0.000
0.000 4.233 0.000
0.000 0.000 8.031
ATOMIC_POSITIONS crystal
Te 0.000 0.500 0.000
Te 0.500 0.000 0.000
H 0.000 0.000 0.000
Pd 0.500 0.500 0.500
I 0.000 0.000 0.500
```

=====

(7)
DFT (PBE) results for an optimized crystal structure of LaCu2Ni. Values from VASP.

Properties
- E_form (eV/atom) = 0.11
- magnetization (μB per atom) = 0.00
- electronic total energy (eV/atom) = -4.61

```
&SYSTEM
  ibrav = 0, nat = 4, ntyp = 3
/
ATOMIC_SPECIES
La 138.91 La.upf
Cu 63.55 Cu.upf
Ni 58.69 Ni.upf
CELL_PARAMETERS angstrom
3.854 0.000 0.000
0.000 3.854 0.000
0.000 0.000 4.766
ATOMIC_POSITIONS crystal
La 0.000 0.000 0.000
Cu 0.000 0.500 0.500
Cu 0.500 0.000 0.500
Ni 0.500 0.500 0.000
```

=====

(8)
DFT (PBE) results for an optimized crystal structure of Y5HgPd. Values from VASP.

Properties
- E_form (eV/atom) = -0.26
- magnetization (μB per atom) = 0.00
- electronic total energy (eV/atom) = -5.66

```
&SYSTEM
  ibrav = 0, nat = 14, ntyp = 3
/
ATOMIC_SPECIES
Y 88.91 Y.upf
Hg 200.59 Hg.upf
Pd 106.42 Pd.upf
CELL_PARAMETERS angstrom
4.638 -3.665 0.000
4.638 3.665 0.000
-2.938 0.000 11.730
ATOMIC_POSITIONS crystal
Y 0.012 0.988 0.750
Y 0.082 0.428 0.127
Y 0.217 0.531 0.429
Y 0.428 0.082 0.627
Y 0.469 0.783 0.071
Y 0.531 0.217 0.929
Y 0.572 0.918 0.373
Y 0.783 0.469 0.571
Y 0.918 0.572 0.873
Y 0.988 0.012 0.250
Hg 0.419 0.581 0.750
Hg 0.581 0.419 0.250
Pd 0.000 0.000 0.000
Pd 0.000 0.000 0.500
```